(1)
Crystalline ZrUPa2P4 at its relaxed geometry. Source: Alexandria, functional PBE.

Lattice parameters (Å, degrees): 3.9118 6.7380 6.7560 109.39 90.00 90.00
Closest atoms and distances in Å follow each position.
Fractional coordinates of all 8 atoms:
P: 0.5000 0.7575 0.7607  2 Zr 2.71, 1 U 2.74, 3 Pa 2.77-2.81
P: 0.0000 0.7527 0.2418  1 Zr 2.69, 2 U 2.75, 3 Pa 2.78-2.81
P: 0.0000 0.2473 0.7582  1 Zr 2.69, 2 U 2.75, 3 Pa 2.78-2.81
P: 0.5000 0.2425 0.2393  2 Zr 2.71, 1 U 2.74, 3 Pa 2.77-2.81
Pa: 0.5000 0.0000 0.5000  6 P 2.77-2.78
Pa: 0.0000 0.5000 0.5000  6 P 2.81
Zr: 0.0000 0.0000 0.0000  6 P 2.69-2.71
U: 0.5000 0.5000 0.0000  6 P 2.74-2.75

Summary:
E in eV/atom: -8.815

***

(2)
Crystalline Co2Ge2W at its relaxed geometry. Source: Alexandria, functional PBE.

Lattice parameters (Å, degrees): 3.6306 3.6306 5.7820 71.70 71.70 90.00
Closest atoms and distances in Å follow each position.
Fractional coordinates of all 5 atoms:
Co: 0.7500 0.2500 0.5000  4 Ge 2.28
Co: 0.2500 0.7500 0.5000  4 Ge 2.28
W: 0.0000 0.0000 0.0000  8 Ge 2.84, 8 Co 3.16
Ge: 0.3833 0.3833 0.2334  4 Co 2.28, 1 Ge 2.42
Ge: 0.6167 0.6167 0.7666  4 Co 2.28, 1 Ge 2.42

Summary:
E above lowest polymorph in meV/atom: 244

***

(3)
Crystalline YMn2CoRh at its relaxed geometry. Source: Alexandria, functional PBE.

Lattice parameters (Å, degrees): 4.7015 4.6653 4.7015 90.00 90.00 90.00
Closest atoms and distances in Å follow each position.
Fractional coordinates of all 5 atoms:
Mn: 0.5000 0.0000 0.0000  2 Rh 2.35
Mn: 0.0000 0.0000 0.5000  2 Rh 2.35
Rh: 0.0000 0.0000 0.0000  2 Co 2.33, 4 Mn 2.35
Co: 0.0000 0.5000 0.0000  2 Rh 2.33
Y: 0.5000 0.5000 0.5000  8 Mn 3.31, 4 Co 3.32

Summary:
E in eV/atom: -7.307

***

(4)
Crystalline AlGa3O at its relaxed geometry. Source: Alexandria, functional PBE.

Lattice parameters (Å, degrees): 4.4253 4.4253 4.4253 90.00 90.00 90.00
Closest atoms and distances in Å follow each position.
Fractional coordinates of all 5 atoms:
Al: 0.5000 0.5000 0.5000  12 Ga 3.13
Ga: 0.5000 0.0000 0.0000  2 O 2.21
Ga: 0.0000 0.0000 0.5000  2 O 2.21
Ga: 0.0000 0.5000 0.0000  2 O 2.21
O: 0.0000 0.0000 0.0000  6 Ga 2.21

Summary:
Raw formation energy in eV/atom: -0.109
E above lowest polymorph in meV/atom: 0